Record 1
Computed, not measured: crystalline ZnMoI2O at its relaxed geometry at the GGA+U level of DFT.

Values from the calculation:
For the energy above the most stable polymorph in this dataset, the calculation gives 345.8 meV/atom. The uncorrected energy is -15.994 eV per cell. The symmetry is No. 123. Its total magnetization is 4.00 μB per cell.

abc: 5.8456 3.6965 5.8456
angles: 90.00 90.00 90.00
Element x y z (fractional)
O  0.0000  0.5000  0.0000
I  0.0000  0.0000  0.5000
I  0.5000  0.0000  0.0000
Mo  0.5000  0.5000  0.5000
Zn  0.0000  0.0000  0.0000


Record 2
Computed, not measured: crystalline KV2AgO6 at its relaxed geometry at the GGA+U level of DFT.

Values from the calculation:
For the energy above the most stable polymorph in this dataset, the calculation gives 13.0 meV/atom. The uncorrected energy is -130.426 eV per cell. The symmetry is No. 15. Its total magnetization is 0.00 μB per cell.

abc: 5.9503 7.9058 7.9058
angles: 93.12 77.54 77.54
Element x y z (fractional)
O  0.6162  0.1698  0.5896
O  0.9487  0.3315  0.3761
O  0.2871  0.2402  0.0535
O  0.2129  0.9465  0.7598
O  0.1162  0.5896  0.1698
O  0.3838  0.8302  0.4104
O  0.7129  0.7598  0.9465
V  0.3024  0.7692  0.6124
Ag  0.2500  0.2556  0.7444
O  0.4487  0.3761  0.3315
V  0.6976  0.2308  0.3876
K  0.7500  0.1061  0.8939
V  0.1976  0.3876  0.2308
K  0.2500  0.8939  0.1061
O  0.0513  0.6685  0.6239
Ag  0.7500  0.7444  0.2556
O  0.7871  0.0535  0.2402
V  0.8024  0.6124  0.7692
O  0.5513  0.6239  0.6685
O  0.8838  0.4104  0.8302


Question: Which of these has the lowest uncorrected energy?
Answer: KV2AgO6